Entry 1:
DFT (PBE) results for crystalline Be2SeCl at its relaxed geometry.

The structure in POSCAR format:
```
Be2SeCl
1.0
4.9641 -0.0132 0.0059
-0.7391 4.9088 -0.0059
-0.3342 -3.9826 2.9445
Be Se Cl
2 1 1
Cartesian
2.0628 2.3902 0.0000
0.0497 0.0576 0.0000
0.5196 1.6870 1.4693
3.3712 -0.7740 1.4752
```

=====

Entry 2:
DFT (PBE) results for crystalline Li2YTcF at its relaxed geometry.

The structure in POSCAR format:
```
Li2YTcF
1.0
3.9349 0.0000 0.0000
0.0000 5.6952 0.0000
0.0000 0.0000 3.9349
F Tc Li Y
1 1 2 1
Cartesian
0.0000 0.0000 0.0000
0.0000 2.8476 0.0000
0.0000 0.0000 1.9674
1.9674 0.0000 0.0000
1.9674 2.8476 1.9674
```

=====

Calculated values (eV/atom) of energy for the records, taken in order: -3.150, -4.987.
Calculated values (eV/atom) of energy relative to the elements, uncorrected for the records, taken in order: 0.046, -0.481.